No. 1
Density functional theory data (PBE) for an optimized crystal structure of UCo2Ge.

CIF file:
```
data_UCo2Ge
_space_group_name_H-M_alt 'P 1 21/m 1'
_space_group_IT_number 11
_cell_length_a 4.691
_cell_length_b 4.198
_cell_length_c 6.352
_cell_angle_alpha 90.00
_cell_angle_beta 104.69
_cell_angle_gamma 90.00
loop_
_space_group_symop_operation_xyz
'x,y,z'
'-x,-y,-z'
'-x,y+1/2,-z'
'x,-y+1/2,z'
loop_
_atom_site_label
_atom_site_type_symbol
_atom_site_fract_x
_atom_site_fract_y
_atom_site_fract_z
U1 U 0.180 0.250 0.218
Co1 Co 0.321 0.750 0.935
Co2 Co 0.339 0.750 0.526
Ge1 Ge 0.281 0.250 0.714
```

energy relative to the elements	-30.7	kJ/mol of atoms
V	15.13	Å³/atom
uncorrected energy	-7.847	eV per atom

***

No. 2
Density functional theory data (PBE) for an optimized crystal structure of Nd4Te2PtCl.

CIF file:
```
data_Nd4Te2PtCl
_space_group_name_H-M_alt 'P 1 2/m 1'
_space_group_IT_number 10
_cell_length_a 7.558
_cell_length_b 4.231
_cell_length_c 7.771
_cell_angle_alpha 90.00
_cell_angle_beta 108.64
_cell_angle_gamma 90.00
loop_
_space_group_symop_operation_xyz
'x,y,z'
'-x,-y,-z'
'-x,y,-z'
'x,-y,z'
loop_
_atom_site_label
_atom_site_type_symbol
_atom_site_fract_x
_atom_site_fract_y
_atom_site_fract_z
Nd1 Nd 0.222 0.000 0.219
Nd2 Nd 0.249 0.500 0.769
Te1 Te 0.000 0.000 0.500
Te2 Te 0.500 0.500 0.500
Pt1 Pt 0.000 0.500 0.000
Cl1 Cl 0.500 0.000 0.000
```

V	29.43	Å³/atom
uncorrected energy	-5.513	eV per atom

***

No. 3
Density functional theory data (PBE) for an optimized crystal structure of Ba3Al5H12.

CIF file:
```
data_Ba3Al5H12
_space_group_name_H-M_alt 'I a -3 d'
_space_group_IT_number 230
_space_group_name_Hall '-I 4bd 2c 3'
_cell_length_a 13.656
_cell_length_b 13.656
_cell_length_c 13.656
_cell_angle_alpha 90.00
_cell_angle_beta 90.00
_cell_angle_gamma 90.00
loop_
_atom_site_label
_atom_site_type_symbol
_atom_site_fract_x
_atom_site_fract_y
_atom_site_fract_z
Ba1 Ba 0.000 0.250 0.125
Al1 Al 0.000 0.000 0.000
Al2 Al 0.000 0.250 0.375
H1 H 0.048 0.069 0.686
```

V	15.92	Å³/atom
uncorrected energy	-3.256	eV per atom

***

No. 4
Density functional theory data (PBE) for an optimized crystal structure of Ho6Ga2Pb.

CIF file:
```
data_Ho6Ga2Pb
_space_group_name_H-M_alt 'I m m m'
_space_group_IT_number 71
_space_group_name_Hall '-I 2 2'
_cell_length_a 9.611
_cell_length_b 9.626
_cell_length_c 10.626
_cell_angle_alpha 90.00
_cell_angle_beta 90.00
_cell_angle_gamma 90.00
loop_
_atom_site_label
_atom_site_type_symbol
_atom_site_fract_x
_atom_site_fract_y
_atom_site_fract_z
Ho1 Ho 0.000 0.201 0.180
Ho2 Ho 0.185 0.221 0.500
Ho3 Ho 0.205 0.500 0.261
Ga1 Ga 0.000 0.000 0.380
Ga2 Ga 0.144 0.000 0.000
Pb1 Pb 0.000 0.500 0.000
Pb2 Pb 0.000 0.500 0.500
```

energy relative to the elements	-41.4	kJ/mol of atoms
V	27.30	Å³/atom
uncorrected energy	-4.566	eV per atom

***

No. 5
Density functional theory data (PBE) for an optimized crystal structure of BeNi3C.

CIF file:
```
data_BeNi3C
_space_group_name_H-M_alt 'P m -3 m'
_space_group_IT_number 221
_space_group_name_Hall '-P 4 2 3'
_cell_length_a 3.690
_cell_length_b 3.690
_cell_length_c 3.690
_cell_angle_alpha 90.00
_cell_angle_beta 90.00
_cell_angle_gamma 90.00
loop_
_atom_site_label
_atom_site_type_symbol
_atom_site_fract_x
_atom_site_fract_y
_atom_site_fract_z
Be1 Be 0.000 0.000 0.000
Ni1 Ni 0.000 0.500 0.500
C1 C 0.500 0.500 0.500
```

energy relative to the elements	4.3	kJ/mol of atoms
V	10.05	Å³/atom
uncorrected energy	-6.014	eV per atom

***

No. 6
Density functional theory data (PBE) for an optimized crystal structure of V4Fe2Cu.

CIF file:
```
data_V4Fe2Cu
_space_group_name_H-M_alt 'I 4/m m m'
_space_group_IT_number 139
_space_group_name_Hall '-I 4 2'
_cell_length_a 4.309
_cell_length_b 4.309
_cell_length_c 11.488
_cell_angle_alpha 90.00
_cell_angle_beta 90.00
_cell_angle_gamma 90.00
loop_
_atom_site_label
_atom_site_type_symbol
_atom_site_fract_x
_atom_site_fract_y
_atom_site_fract_z
V1 V 0.000 0.000 0.207
V2 V 0.000 0.500 0.000
Fe1 Fe 0.000 0.000 0.388
Cu1 Cu 0.000 0.000 0.000
```

energy relative to the elements	97.9	kJ/mol of atoms
V	15.24	Å³/atom
uncorrected energy	-7.199	eV per atom